# FeSeO3F | Alexandria via LeMat-Bulk | GGA+U | optimized geometry
data_FeSeO3F
_chemical_formula_sum 'Fe4 Se4 O12 F4'
_cell_length_a 5.0750
_cell_length_b 5.2867
_cell_length_c 12.4912
_cell_angle_alpha 90.00
_cell_angle_beta 105.92
_cell_angle_gamma 90.00
_symmetry_space_group_name_H-M 'P 1 21/c 1'
_symmetry_Int_Tables_number 14
loop_
_symmetry_equiv_pos_as_xyz
'x,y,z'
'-x,-y,-z'
'-x,y+1/2,-z+1/2'
'x,-y+1/2,z+1/2'
loop_
_atom_site_label
_atom_site_type_symbol
_atom_site_fract_x
_atom_site_fract_y
_atom_site_fract_z
_atom_site_occupancy
Fe1 Fe 0.1142 0.2477 0.0712 1
Se1 Se 0.3207 0.1431 0.3339 1
O1 O 0.0856 0.0788 0.2086 1
O2 O 0.1190 0.0581 0.4256 1
O3 O 0.4772 0.1237 0.6559 1
F1 F 0.2393 0.5650 0.5105 1
# Density of states at the Fermi level (states/eV per cell): 0.000
# E_tot (eV per atom): -5.6782
# Volume (Å³/atom): 13.4
# Calculated density (g cm⁻³): 4.16